Compound: CeHoCdTc
Source: Alexandria via LeMat-Bulk
Functional: GGA-PBE
Structure: optimized geometry

a b c (Å): 7.1710 7.1710 7.1710
angles (deg): 90.00 90.00 90.00
Space group F-43m (No. 216)
Inequivalent atoms, fractional coordinates:
Ce 0.0000 0.0000 0.0000 (multiplicity 4)
Ho 0.0000 0.0000 0.5000 (multiplicity 4)
Cd 0.2500 0.2500 0.7500 (multiplicity 4)
Tc 0.2500 0.2500 0.2500 (multiplicity 4)

Compound: Ba3Li2Cd
Source: Alexandria via LeMat-Bulk
Functional: GGA-PBE
Structure: optimized geometry

Values from the calculation:
The excess energy over the best structure of this formula in the dataset is 0 meV per atom.

a b c (Å): 6.1261 18.4335 8.7668
angles (deg): 90.00 90.00 90.00
Space group Cmmm (No. 65)
Inequivalent atoms, fractional coordinates:
Ba 0.0000 0.0000 0.2400 (multiplicity 4)
Ba 0.0000 0.3292 0.2350 (multiplicity 8)
Li 0.0000 0.1663 0.5000 (multiplicity 4)
Li 0.0000 0.5000 0.0000 (multiplicity 2)
Li 0.0000 0.5000 0.5000 (multiplicity 2)
Cd 0.0000 0.1617 0.0000 (multiplicity 4)

Compound: Ac2Cu3Sn4Pd
Source: Alexandria via LeMat-Bulk
Functional: GGA-PBE
Structure: optimized geometry

a b c (Å): 4.6625 4.6625 10.7178
angles (deg): 90.00 90.00 90.00
Space group P-4m2 (No. 115)
Inequivalent atoms, fractional coordinates:
Ac 0.0000 0.5000 0.2404 (multiplicity 2)
Cu 0.0000 0.0000 0.0000 (multiplicity 1)
Cu 0.0000 0.5000 0.6305 (multiplicity 2)
Sn 0.0000 0.0000 0.5000 (multiplicity 1)
Sn 0.0000 0.5000 0.8747 (multiplicity 2)
Sn 0.5000 0.5000 0.5000 (multiplicity 1)
Pd 0.5000 0.5000 0.0000 (multiplicity 1)

Compound: Li3La2FeNi12
Source: Alexandria via LeMat-Bulk
Functional: GGA-PBE
Structure: optimized geometry

a b c (Å): 6.0068 6.0068 25.4179
angles (deg): 90.00 90.00 120.00
Space group R-3m (No. 166, hexagonal axes)
Inequivalent atoms, fractional coordinates:
Li 0.0000 0.5000 0.0000 (multiplicity 9)
La 0.0000 0.0000 0.1535 (multiplicity 6)
Fe 0.0000 0.0000 0.5000 (multiplicity 3)
Ni 0.0545 0.5272 0.0960 (multiplicity 18)
Ni 0.0724 0.5362 0.6157 (multiplicity 18)

| no. | ΔH_f (0 K) (eV/atom) | ρ (g/cm3) |
| --- | --- | --- |
| 1 | -0.047 | 9.285 |
| 2 | -0.092 | 3.611 |
| 3 | -0.533 | 8.737 |
| 4 | 0.166 | 6.641 |